# 1
PmDy4Sc5 | PBE-GGA | relaxed

Properties
For the formation energy, the calculation gives 0.25 eV per atom. As for the size of the total moment: 0.00 μB/atom. The theoretical density is 5.84 Mg/m³. The raw total energy is -52.34 eV/f.u. The calculation puts the density of states at the Fermi level at 15.0 states/eV per cell.

Cell lengths 7.6890, 7.6890, 7.6890 Å; angles 97.83, 97.83, 136.69 degrees
Atoms (fractional coordinates):
Pm: 0.0000 0.0000 0.0000
Dy: 0.2632 0.5865 0.3233
Dy: 0.2632 0.9398 0.6767
Dy: 0.5865 0.2632 0.3233
Dy: 0.9398 0.2632 0.6767
Sc: 0.4758 0.4758 0.0000
Sc: 0.5342 0.5342 0.6204
Sc: 0.5342 0.9138 0.0000
Sc: 0.9138 0.5342 0.0000
Sc: 0.9138 0.9138 0.3796

=====

# 2
Ti4ZnH2 | PBE-GGA | relaxed

Properties
As for the size of the total moment: 0.32 μB/atom. The theoretical density is 4.13 Mg/m³. The raw total energy is -35.78 eV/f.u. The calculation puts the density of states at the Fermi level at 8.4 states/eV per cell.

Cell lengths 5.9076, 5.9076, 5.9076 Å; angles 134.27, 134.27, 66.66 degrees
Atoms (fractional coordinates):
Ti: 0.0000 0.5000 0.5000
Ti: 0.2483 0.2483 0.0000
Ti: 0.5000 0.0000 0.5000
Ti: 0.7517 0.7517 0.0000
Zn: 0.5000 0.5000 0.0000
H: 0.0668 0.0668 0.0000
H: 0.9332 0.9332 0.0000

=====

# 3
La2TeRu | PBE-GGA | relaxed

Properties
As for the size of the total moment: 0.00 μB/atom. The theoretical density is 7.83 Mg/m³. The raw total energy is -24.37 eV/f.u. As for the formation energy without anion corrections: -12.07 kcal/mol of atoms. The calculation puts the density of states at the Fermi level at 0.8 states/eV per cell.

Cell lengths 5.3349, 5.3349, 5.3349 Å; angles 60.00, 60.00, 60.00 degrees
Atoms (fractional coordinates):
La: 0.2500 0.2500 0.2500
La: 0.7500 0.7500 0.7500
Te: 0.0000 0.0000 0.0000
Ru: 0.5000 0.5000 0.5000

=====

# 4
K2IrW | PBE-GGA | relaxed

Properties
For the formation energy, the calculation gives 0.68 eV per atom. As for the size of the total moment: 0.00 μB/atom. The theoretical density is 5.90 Mg/m³. The raw total energy is -21.29 eV/f.u. The calculation puts the density of states at the Fermi level at 2.6 states/eV per cell.

Cell lengths 4.4323, 4.4323, 10.1240 Å; angles 92.26, 92.26, 40.02 degrees
Atoms (fractional coordinates):
K: 0.0000 0.0000 0.0000
K: 0.2273 0.2273 0.5712
Ir: 0.4858 0.4858 0.3287
W: 0.7592 0.7592 0.2523

=====

# 5
VAs3Cl | PBE-GGA | relaxed

Properties
As for the size of the total moment: 0.00 μB/atom. The theoretical density is 4.90 Mg/m³. The raw total energy is -24.65 eV/f.u. As for the formation energy without anion corrections: 1.24 kcal/mol of atoms. The calculation puts the density of states at the Fermi level at 2.7 states/eV per cell.

Cell lengths 4.7251, 4.7251, 4.7251 Å; angles 90.00, 90.00, 90.00 degrees
Atoms (fractional coordinates):
V: 0.0000 0.0000 0.0000
As: 0.0000 0.0000 0.5000
As: 0.0000 0.5000 0.0000
As: 0.5000 0.0000 0.0000
Cl: 0.5000 0.5000 0.5000

=====

# 6
AlCr4Au | PBE-GGA | relaxed

Properties
For the formation energy, the calculation gives 0.23 eV per atom. As for the size of the total moment: 0.00 μB/atom. The theoretical density is 8.97 Mg/m³. The raw total energy is -44.15 eV/f.u. The calculation puts the density of states at the Fermi level at 6.7 states/eV per cell.

Cell lengths 4.8352, 4.8352, 4.8352 Å; angles 60.00, 60.00, 60.00 degrees
Atoms (fractional coordinates):
Al: 0.0000 0.0000 0.0000
Cr: 0.3742 0.3742 0.3742
Cr: 0.3742 0.3742 0.8775
Cr: 0.3742 0.8775 0.3742
Cr: 0.8775 0.3742 0.3742
Au: 0.7500 0.7500 0.7500